Record 1
A plane-wave DFT calculation with SCAN was carried out for Sc2CrPb at its PBEsol-relaxed geometry.

Values from the calculation:
Total energy   -2.277 Ry/atom
Crystal system   tetragonal
N(E_F)   0.7720 states/eV per atom
Mass density   7026 kg/m3

abc: 4.4695 4.4695 4.1304
angles: 90.00 90.00 90.00
Space group P4/mmm (No. 123)
One atom of each set of equivalent atoms:
Sc 0.0000 0.5000 0.0000 (multiplicity 2)
Cr 0.0000 0.0000 0.5000 (multiplicity 1)
Pb 0.5000 0.5000 0.5000 (multiplicity 1)


Record 2
A plane-wave DFT calculation with SCAN was carried out for ReSbOs at its PBEsol-relaxed geometry.

Values from the calculation:
Total energy   -4.325 Ry/atom
Crystal system   cubic
N(E_F)   1.2810 states/eV per atom
Mass density   14913 kg/m3

abc: 6.0541 6.0541 6.0541
angles: 90.00 90.00 90.00
Space group F-43m (No. 216)
One atom of each set of equivalent atoms:
Re 0.0000 0.0000 0.0000 (multiplicity 4)
Sb 0.2500 0.2500 0.7500 (multiplicity 4)
Os 0.0000 0.0000 0.5000 (multiplicity 4)


Record 3
A plane-wave DFT calculation with SCAN was carried out for TaP2Os at its PBEsol-relaxed geometry.

Values from the calculation:
Total energy   -2.935 Ry/atom
Crystal system   tetragonal
N(E_F)   0.4405 states/eV per atom
Mass density   11245 kg/m3

abc: 2.8596 2.8596 7.8213
angles: 90.00 90.00 90.00
Space group P4mm (No. 99)
One atom of each set of equivalent atoms:
Ta 0.0000 0.0000 0.0000 (multiplicity 1)
P 0.0000 0.0000 0.4224 (multiplicity 1)
P 0.5000 0.5000 0.7736 (multiplicity 1)
Os 0.5000 0.5000 0.2543 (multiplicity 1)


Record 4
A plane-wave DFT calculation with SCAN was carried out for Li3Sc at its PBEsol-relaxed geometry.

Values from the calculation:
Total energy   -0.378 Ry/atom
Crystal system   trigonal
N(E_F)   0.6604 states/eV per atom
Mass density   1317 kg/m3

abc: 9.8427 9.8427 2.9666
angles: 90.00 90.00 120.00
Space group R-3m (No. 166, hexagonal axes)
One atom of each set of equivalent atoms:
Li 0.0000 0.5000 0.0000 (multiplicity 9)
Sc 0.0000 0.0000 0.0000 (multiplicity 3)


Record 5
A plane-wave DFT calculation with SCAN was carried out for Sb3OsC at its PBEsol-relaxed geometry.

Values from the calculation:
Total energy   -2.734 Ry/atom
Crystal system   cubic
N(E_F)   0.6768 states/eV per atom
Mass density   10367 kg/m3

abc: 4.4963 4.4963 4.4963
angles: 90.00 90.00 90.00
Space group Pm-3m (No. 221)
One atom of each set of equivalent atoms:
Sb 0.0000 0.0000 0.5000 (multiplicity 3)
Os 0.5000 0.5000 0.5000 (multiplicity 1)
C 0.0000 0.0000 0.0000 (multiplicity 1)


Record 6
A plane-wave DFT calculation with SCAN was carried out for AlBi2Pb at its PBEsol-relaxed geometry.

Values from the calculation:
Total energy   -4.412 Ry/atom
Crystal system   tetragonal
N(E_F)   0.5694 states/eV per atom
Mass density   7180 kg/m3

abc: 6.7188 6.7188 13.3643
angles: 90.00 90.00 90.00
Space group I-42d (No. 122)
One atom of each set of equivalent atoms:
Al 0.0000 0.0000 0.0000 (multiplicity 4)
Bi 0.2097 0.2500 0.1250 (multiplicity 8)
Pb 0.0000 0.0000 0.5000 (multiplicity 4)